[1]
# FeMo2Pt | Alexandria | SCAN | PBEsol geometry
# Offset from the most stable computed form: 0.0240 eV per atom
# Formation energy from the elements: -0.08 eV per atom
data_FeMo2Pt
_chemical_formula_sum 'Fe2 Mo4 Pt2'
_symmetry_space_group_name_H-M 'C m m m'
_symmetry_Int_Tables_number 65
_symmetry_space_group_name_Hall '-C 2 2'
_cell_length_a 5.3222
_cell_length_b 7.7938
_cell_length_c 2.6693
_cell_angle_alpha 90.00
_cell_angle_beta 90.00
_cell_angle_gamma 90.00
loop_
_atom_site_label
_atom_site_type_symbol
_atom_site_fract_x
_atom_site_fract_y
_atom_site_fract_z
_atom_site_occupancy
Fe1 Fe 0.0000 0.0000 0.0000 1
Mo1 Mo 0.2500 0.2500 0.5000 1
Pt1 Pt 0.0000 0.5000 0.0000 1



[2]
# FeMo2Pt | Alexandria | SCAN | PBEsol geometry
# Offset from the most stable computed form: 0.0000 eV per atom
# Formation energy from the elements: -0.11 eV per atom
data_FeMo2Pt
_chemical_formula_sum 'Fe2 Mo4 Pt2'
_symmetry_space_group_name_H-M 'I 4/m m m'
_symmetry_Int_Tables_number 139
_symmetry_space_group_name_Hall '-I 4 2'
_cell_length_a 3.7801
_cell_length_b 3.7801
_cell_length_c 7.6922
_cell_angle_alpha 90.00
_cell_angle_beta 90.00
_cell_angle_gamma 90.00
loop_
_atom_site_label
_atom_site_type_symbol
_atom_site_fract_x
_atom_site_fract_y
_atom_site_fract_z
_atom_site_occupancy
Fe1 Fe 0.0000 0.0000 0.0000 1
Mo1 Mo 0.0000 0.5000 0.2500 1
Pt1 Pt 0.0000 0.0000 0.5000 1